No. 1
Computed, not measured: a geometry-optimized LaSiMo2 structure at the PBE level of DFT.

```
4
Lattice="7.8549 -0.5687 -0.3335 7.3193 2.9071 -0.3335 7.3193 1.1279 2.7000" Properties=species:S:1:pos:R:3 pbc="T T T"
Mo 21.9324 3.3799 1.9823
Mo 11.8078 1.8196 1.0672
La 16.8701 2.5998 1.5247
Si 5.6234 0.8666 0.5082
```

Summary:
The calculation puts the calculated volume at 20.39 A^3/atom. The uncorrected formation energy is 35.0 kJ per mole of atoms. Its space group is No. 166.

No. 2
Computed, not measured: a geometry-optimized LaSiSn2Mo structure at the PBE level of DFT.

```
5
Lattice="-5.6913 -1.7170 0.0269 1.2625 -4.1486 2.3022 -0.7824 2.6756 5.2506" Properties=species:S:1:pos:R:3 pbc="T T T"
Si -2.6056 -1.5950 3.7898
Mo 0.6312 -2.0743 1.1511
Sn -0.3912 1.3378 2.6253
Sn -2.8456 -0.8585 0.0135
La 0.0000 0.0000 0.0000
```

Summary:
The calculation puts the calculated volume at 34.70 A^3/atom. The uncorrected formation energy is 163.4 kJ per mole of atoms. Its space group is No. 123.

In the order shown, the computed mass density values come out to 7.305 4.789 g/cm3.